Record 1
# MnRu, PBEsol geometry, DFT meta-GGA SCAN
data_MnRu
_chemical_formula_sum 'Mn2 Ru2'
_cell_length_a 2.591
_cell_length_b 2.591
_cell_length_c 7.092
_cell_angle_alpha 90.00
_cell_angle_beta 90.00
_cell_angle_gamma 90.00
_space_group_name_H-M_alt 'P 4/n m m'
_space_group_IT_number 129
loop_
_space_group_symop_operation_xyz
'x,y,z'
'-x,-y,-z'
'-y+1/2,x,z'
'y+1/2,-x,-z'
'-x+1/2,-y+1/2,z'
'x+1/2,y+1/2,-z'
'y,-x+1/2,z'
'-y,x+1/2,-z'
'x+1/2,-y,-z'
'-x+1/2,y,z'
'-y,-x,-z'
'y,x,z'
'-x,y+1/2,-z'
'x,-y+1/2,z'
'y+1/2,x+1/2,-z'
'-y+1/2,-x+1/2,z'
loop_
_atom_site_label
_atom_site_type_symbol
_atom_site_fract_x
_atom_site_fract_y
_atom_site_fract_z
_atom_site_occupancy
Mn1 Mn 0.250 0.250 0.115 1
Ru1 Ru 0.250 0.250 0.642 1
# Spin magnetization in μB/atom: 0.9871
# E in eV/atom: -26.385

Record 2
# MnRu, PBEsol geometry, DFT meta-GGA SCAN
data_MnRu
_chemical_formula_sum 'Mn4 Ru4'
_cell_length_a 9.260
_cell_length_b 2.610
_cell_length_c 4.437
_cell_angle_alpha 90.00
_cell_angle_beta 117.65
_cell_angle_gamma 90.00
_space_group_name_H-M_alt 'C 1 2/m 1'
_space_group_IT_number 12
loop_
_space_group_symop_operation_xyz
'x,y,z'
'-x,-y,-z'
'-x,y,-z'
'x,-y,z'
'x+1/2,y+1/2,z'
'-x+1/2,-y+1/2,-z'
'-x+1/2,y+1/2,-z'
'x+1/2,-y+1/2,z'
loop_
_atom_site_label
_atom_site_type_symbol
_atom_site_fract_x
_atom_site_fract_y
_atom_site_fract_z
_atom_site_occupancy
Mn1 Mn 0.132 0.000 0.302 1
Ru1 Ru 0.121 0.500 0.795 1
# Spin magnetization in μB/atom: 0.0001
# E in eV/atom: -26.424

Record 3
# Mn2Ru, PBEsol geometry, DFT meta-GGA SCAN
data_Mn2Ru
_chemical_formula_sum 'Mn16 Ru8'
_cell_length_a 4.5849
_cell_length_b 4.5849
_cell_length_c 14.9604
_cell_angle_alpha 90.00
_cell_angle_beta 90.00
_cell_angle_gamma 120.00
_space_group_name_H-M_alt 'P 63/m m c'
_space_group_IT_number 194
_space_group_name_Hall '-P 6c 2c'
loop_
_atom_site_label
_atom_site_type_symbol
_atom_site_fract_x
_atom_site_fract_y
_atom_site_fract_z
_atom_site_occupancy
Mn1 Mn 0.0000 0.5000 0.0000 1
Mn2 Mn 0.1584 0.3168 0.2500 1
Mn3 Mn 0.3333 0.6667 0.1290 1
Ru1 Ru 0.0000 0.0000 0.0899 1
Ru2 Ru 0.3333 0.6667 0.6556 1
# Spin magnetization in μB/atom: 0.2089
# E in eV/atom: -23.744

Copy entry 1 word for word.
# MnRu, PBEsol geometry, DFT meta-GGA SCAN
data_MnRu
_chemical_formula_sum 'Mn2 Ru2'
_cell_length_a 2.591
_cell_length_b 2.591
_cell_length_c 7.092
_cell_angle_alpha 90.00
_cell_angle_beta 90.00
_cell_angle_gamma 90.00
_space_group_name_H-M_alt 'P 4/n m m'
_space_group_IT_number 129
loop_
_space_group_symop_operation_xyz
'x,y,z'
'-x,-y,-z'
'-y+1/2,x,z'
'y+1/2,-x,-z'
'-x+1/2,-y+1/2,z'
'x+1/2,y+1/2,-z'
'y,-x+1/2,z'
'-y,x+1/2,-z'
'x+1/2,-y,-z'
'-x+1/2,y,z'
'-y,-x,-z'
'y,x,z'
'-x,y+1/2,-z'
'x,-y+1/2,z'
'y+1/2,x+1/2,-z'
'-y+1/2,-x+1/2,z'
loop_
_atom_site_label
_atom_site_type_symbol
_atom_site_fract_x
_atom_site_fract_y
_atom_site_fract_z
_atom_site_occupancy
Mn1 Mn 0.250 0.250 0.115 1
Ru1 Ru 0.250 0.250 0.642 1
# Spin magnetization in μB/atom: 0.9871
# E in eV/atom: -26.385